Compound: ReSiOs
Source: Alexandria
Functional: PBE
Structure: optimized geometry

Cell lengths 2.908, 2.908, 9.639 Å; angles 90.00, 90.00, 90.00 degrees
Atoms (fractional coordinates):
Re  0.000  0.000  0.000
Re  0.500  0.500  0.500
Si  0.000  0.000  0.657
Si  0.500  0.500  0.157
Os  0.000  0.000  0.307
Os  0.500  0.500  0.807

Uncorrected formation energy, eV per formula unit: -0.469
Excess energy over the best structure of this formula in the dataset, meV per atom: 0
Crystal system: tetragonal
VASP energy, eV/atom: -9.857
Magnetization, μB/atom: 0.00